--- one ---
Compound: Ac6Tl3Ir
Source: Alexandria
Functional: PBE-GGA
Structure: optimized geometry

a = 7.350 Å, b = 9.347 Å, c = 13.045 Å
α = 90.00°, β = 119.56°, γ = 90.00°
Space group P2_1/c (No. 14)
Symmetry-distinct sites (fractional):
Ac 0.078 0.061 0.236
Ac 0.194 0.705 0.070
Ac 0.397 0.155 0.059
Tl 0.316 0.110 0.736
Tl 0.500 0.000 0.500
Ir 0.000 0.000 0.000

=====

--- two ---
Compound: Ac6Tl3Ir
Source: Alexandria
Functional: PBE-GGA
Structure: optimized geometry

a = 12.651 Å, b = 16.100 Å, c = 8.057 Å
α = 90.00°, β = 90.00°, γ = 90.00°
Space group Cmc2_1 (No. 36)
Symmetry-distinct sites (fractional):
Ac 0.000 0.007 0.000
Ac 0.000 0.238 0.444
Ac 0.156 0.478 0.449
Ac 0.159 0.240 0.908
Tl 0.000 0.380 0.141
Tl 0.182 0.110 0.243
Ir 0.000 0.140 0.747

=====

Relative stability in meV/atom, measured from the most stable structure: one 0; two 145